## PuMgSb (PBE)

Data for an optimized crystal structure of PuMgSb.

Lattice parameters (Å, degrees): 4.8983 4.8983 3.6402 90.00 90.00 120.00
Space group P-6m2 (No. 187)
One atom of each set of equivalent atoms:
Pu 0.0000 0.0000 0.0000 x1
Mg 0.6667 0.3333 0.5000 x1
Sb 0.3333 0.6667 0.5000 x1

Crystal system: hexagonal
Energy above the most stable polymorph in this dataset, meV per atom: 80
ΔE_f (raw), eV per atom: -0.2898
Total energy, eV/atom: -6.97